Density functional theory data (PBE) for a relaxed structure of SrScB.

Results
E_form   0.0565 eV/atom
Size of the total moment   0.24 μB per atom
Energy above the lowest structure with this stoichiometry   191.7 meV/atom

Unit cell a=3.5973 b=5.5289 c=7.7437 alpha=90.00 beta=90.00 gamma=90.00
Fractional positions:
Sr 0.0000 0.0000 0.0000
Sr 0.5000 0.5000 0.3359
Sc 0.0000 0.0000 0.5441
Sc 0.0000 0.5000 0.7439
B 0.5000 0.1516 0.7167
B 0.5000 0.8484 0.7167

Density functional theory data (PBE) for a relaxed structure of CeInGaGe.

Results
E_form   -0.4824 eV/atom
Size of the total moment   0.13 μB per atom

Unit cell a=4.2309 b=4.4558 c=4.7132 alpha=90.00 beta=90.00 gamma=90.00
Fractional positions:
Ce 0.0000 0.0000 0.0000
In 0.0000 0.5000 0.5000
Ga 0.5000 0.0000 0.5000
Ge 0.5000 0.5000 0.0000

Density functional theory data (PBE) for a relaxed structure of PuCd2O7.

Results
Size of the total moment   0.00 μB per atom
Formation energy from raw total energies   -1.33 eV per atom

Unit cell a=6.0682 b=7.3965 c=8.1738 alpha=78.71 beta=75.67 gamma=74.87
Fractional positions:
Pu 0.2237 0.4021 0.3443
Pu 0.7763 0.5979 0.6557
Cd 0.2489 0.5111 0.8377
Cd 0.2580 0.8437 0.4561
Cd 0.7420 0.1563 0.5439
Cd 0.7511 0.4889 0.1623
O 0.1275 0.1526 0.4207
O 0.1465 0.4507 0.6052
O 0.1819 0.4008 0.1028
O 0.2592 0.9746 0.9842
O 0.2783 0.0881 0.8521
O 0.3344 0.6432 0.2726
O 0.4225 0.7363 0.6760
O 0.5775 0.2637 0.3240
O 0.6656 0.3568 0.7274
O 0.7217 0.9119 0.1479
O 0.7408 0.0254 0.0158
O 0.8181 0.5992 0.8972
O 0.8535 0.5493 0.3948
O 0.8725 0.8474 0.5793

Density functional theory data (PBE) for a relaxed structure of Ac2NiRu.

Results
E_form   0.5190 eV/atom
Size of the total moment   0.02 μB per atom

Unit cell a=9.1090 b=9.1090 c=9.1090 alpha=26.42 beta=26.42 gamma=26.42
Fractional positions:
Ac 0.1032 0.1032 0.1032
Ac 0.8968 0.8968 0.8968
Ni 0.0000 0.0000 0.0000
Ru 0.5000 0.5000 0.5000

Density functional theory data (PBE) for a relaxed structure of Nd3NiCl3.

Results
Size of the total moment   0.00 μB per atom
Formation energy from raw total energies   -1.43 eV per atom

Unit cell a=10.0848 b=10.0848 c=10.0848 alpha=109.47 beta=109.47 gamma=109.47
Fractional positions:
Nd 0.0122 0.0244 0.2622
Nd 0.0122 0.4878 0.7500
Nd 0.0244 0.2622 0.0122
Nd 0.2378 0.2622 0.7500
Nd 0.2378 0.4756 0.4878
Nd 0.2622 0.0122 0.0244
Nd 0.2622 0.7500 0.2378
Nd 0.4756 0.4878 0.2378
Nd 0.4878 0.2378 0.4756
Nd 0.4878 0.7500 0.0122
Nd 0.7500 0.0122 0.4878
Nd 0.7500 0.2378 0.2622
Ni 0.0000 0.2500 0.5000
Ni 0.2500 0.2500 0.2500
Ni 0.2500 0.5000 0.0000
Ni 0.5000 0.0000 0.2500
Cl 0.2500 0.7526 0.7474
Cl 0.2500 0.9974 0.5026
Cl 0.5026 0.2500 0.9974
Cl 0.5026 0.7526 0.5051
Cl 0.5051 0.5026 0.7526
Cl 0.7474 0.2500 0.7526
Cl 0.7474 0.9974 0.9949
Cl 0.7526 0.5051 0.5026
Cl 0.7526 0.7474 0.2500
Cl 0.9949 0.7474 0.9974
Cl 0.9974 0.5026 0.2500
Cl 0.9974 0.9949 0.7474

Density functional theory data (PBE) for a relaxed structure of PtC2.

Results
E_form   2.1226 eV/atom
Size of the total moment   0.00 μB per atom
Energy above the lowest structure with this stoichiometry   1801.4 meV/atom

Unit cell a=2.5968 b=2.5968 c=4.1438 alpha=90.00 beta=90.00 gamma=90.00
Fractional positions:
Pt 0.0000 0.0000 0.0000
C 0.0000 0.5000 0.5000
C 0.5000 0.0000 0.5000

Density functional theory data (PBE) for a relaxed structure of Ti5Mn4Be.

Results
E_form   -0.2301 eV/atom
Size of the total moment   0.23 μB per atom

Unit cell a=2.9934 b=2.9934 c=14.7529 alpha=90.00 beta=90.00 gamma=90.00
Fractional positions:
Ti 0.0000 0.0000 0.0000
Ti 0.0000 0.0000 0.2037
Ti 0.0000 0.0000 0.4006
Ti 0.0000 0.0000 0.5994
Ti 0.0000 0.0000 0.7963
Mn 0.5000 0.5000 0.1008
Mn 0.5000 0.5000 0.3054
Mn 0.5000 0.5000 0.6946
Mn 0.5000 0.5000 0.8992
Be 0.5000 0.5000 0.5000

Density functional theory data (PBE) for a relaxed structure of SrPmZn2Pd5.

Results
E_form   -0.5271 eV/atom
Size of the total moment   0.00 μB per atom

Unit cell a=4.6553 b=4.6553 c=8.0550 alpha=90.00 beta=90.00 gamma=90.00
Fractional positions:
Sr 0.0000 0.0000 0.0000
Pm 0.0000 0.0000 0.5000
Zn 0.5000 0.5000 0.3462
Zn 0.5000 0.5000 0.6538
Pd 0.0000 0.5000 0.2416
Pd 0.0000 0.5000 0.7584
Pd 0.5000 0.0000 0.2416
Pd 0.5000 0.0000 0.7584
Pd 0.5000 0.5000 0.0000

Density functional theory data (PBE) for a relaxed structure of Na2CuSnB.

Results
E_form   0.5405 eV/atom
Size of the total moment   0.00 μB per atom

Unit cell a=5.3936 b=5.3936 c=3.8575 alpha=90.00 beta=90.00 gamma=90.00
Fractional positions:
Na 0.0000 0.5000 0.0000
Na 0.5000 0.0000 0.0000
Cu 0.0000 0.0000 0.0000
Sn 0.5000 0.5000 0.5000
B 0.0000 0.0000 0.5000

Density functional theory data (PBE) for a relaxed structure of Pr6Nd2Pu.

Results
E_form   0.1133 eV/atom
Size of the total moment   0.67 μB per atom

Unit cell a=11.2558 b=11.2558 c=6.7444 alpha=107.35 beta=107.35 gamma=50.94
Fractional positions:
Pr 0.1580 0.7875 0.9729
Pr 0.1645 0.1655 0.4152
Pr 0.1655 0.1645 0.9152
Pr 0.1999 0.5256 0.3624
Pr 0.2125 0.8420 0.5271
Pr 0.4744 0.8001 0.1376
Pr 0.5256 0.1999 0.8624
Pr 0.7875 0.1580 0.4729
Pr 0.8001 0.4744 0.6376
Pr 0.8345 0.8355 0.0848
Pr 0.8355 0.8345 0.5848
Pr 0.8420 0.2125 0.0271
Nd 0.1259 0.4810 0.8040
Nd 0.4810 0.1259 0.3040
Nd 0.5190 0.8741 0.6960
Nd 0.8741 0.5190 0.1960
Pu 0.5001 0.4999 0.2500
Pu 0.4999 0.5001 0.7500

Density functional theory data (PBE) for a relaxed structure of Li2UCl6.

Results
Size of the total moment   0.22 μB per atom
Formation energy from raw total energies   -1.75 eV per atom
Energy above the lowest structure with this stoichiometry   0.0 meV/atom

Unit cell a=6.2635 b=6.2635 c=11.5786 alpha=90.00 beta=90.00 gamma=90.00
Fractional positions:
Li 0.0000 0.0000 0.1645
Li 0.0000 0.0000 0.8355
Li 0.5000 0.5000 0.3355
Li 0.5000 0.5000 0.6645
U 0.0000 0.0000 0.5000
U 0.5000 0.5000 0.0000
Cl 0.1982 0.1982 0.3318
Cl 0.1982 0.1982 0.6682
Cl 0.1990 0.1990 0.0000
Cl 0.3010 0.6990 0.5000
Cl 0.3018 0.6982 0.1682
Cl 0.3018 0.6982 0.8318
Cl 0.6982 0.3018 0.1682
Cl 0.6982 0.3018 0.8318
Cl 0.6990 0.3010 0.5000
Cl 0.8010 0.8010 0.0000
Cl 0.8018 0.8018 0.3318
Cl 0.8018 0.8018 0.6682

Density functional theory data (PBE) for a relaxed structure of BiP2HCl.

Results
Size of the total moment   0.00 μB per atom
Energy above the lowest structure with this stoichiometry   0.0 meV/atom

Unit cell a=4.0070 b=4.0070 c=5.3467 alpha=90.00 beta=90.00 gamma=90.00
Fractional positions:
Bi 0.0000 0.0000 0.0000
P 0.0000 0.5000 0.5000
P 0.5000 0.0000 0.5000
H 0.5000 0.5000 0.5000
Cl 0.5000 0.5000 0.0000

E for every record listed, in sequence, given in eV per atom: -4.840, -4.562, -6.421, -5.300, -5.091, -6.040, -8.218, -4.410, -2.942, -5.725, -4.660, -3.444.